1.
First-principles (GGA-PBE) data for crystalline BaAuSe at its relaxed geometry, as listed in the Alexandria database.

Unit cell a=5.719 b=5.719 c=4.493 alpha=66.87 beta=66.87 gamma=46.26
Positions (direct):
Au 0.978 0.978 0.022
Ba 0.321 0.321 0.679
Se 0.702 0.702 0.298

- Formation energy from raw total energies: -83 kJ per mole of atoms
- Crystal system: tetragonal
- Space-group type: I4mm (107)
- E: -3.7529 eV/atom
- Energy above the lowest structure with this stoichiometry: 0.80 eV per formula unit

---

2.
First-principles (GGA-PBE) data for crystalline Y2Ru3Rh at its relaxed geometry, as listed in the Alexandria database.

Unit cell a=5.247 b=5.247 c=5.454 alpha=90.00 beta=118.80 gamma=119.96
Positions (direct):
Y 0.244 0.622 0.867
Y 0.756 0.378 0.133
Ru 0.000 0.000 0.500
Ru 0.500 0.500 0.500
Ru 0.500 0.000 0.500
Rh 0.000 0.000 0.000

- Crystal system: trigonal
- Space-group type: R-3m (166)
- ΔE_f: -2.5 eV per formula unit
- E: -8.4289 eV/atom

---

3.
First-principles (GGA-PBE) data for crystalline TaSnOF2 at its relaxed geometry, as listed in the Alexandria database.

Unit cell a=4.419 b=4.419 c=4.353 alpha=90.00 beta=90.00 gamma=90.00
Site moments in Bohr magnetons follow the coordinates.
Positions (direct):
O 0.000 0.000 0.500  -0.03
F 0.000 0.500 0.000  0.06
F 0.500 0.000 0.000  0.06
Sn 0.000 0.000 0.000  -0.03
Ta 0.500 0.500 0.500  2.39

- Formation energy from raw total energies: -30 kJ per mole of atoms
- Crystal system: tetragonal
- Space-group type: P4/mmm (123)
- E: -5.2251 eV/atom
- Energy above the lowest structure with this stoichiometry: 6.25 eV per formula unit

---

4.
First-principles (GGA-PBE) data for crystalline NpBiPb2 at its relaxed geometry, as listed in the Alexandria database.

Unit cell a=5.033 b=4.788 c=4.788 alpha=90.00 beta=90.00 gamma=90.00
Site moments in Bohr magnetons follow the coordinates.
Positions (direct):
Bi 0.500 0.000 0.000  -0.05
Pb 0.000 0.500 0.000  0.00
Pb 0.000 0.000 0.500  0.00
Np 0.500 0.500 0.500  4.08

- Crystal system: tetragonal
- Space-group type: P4/mmm (123)
- ΔE_f: 0.3 eV per formula unit
- E: -5.9970 eV/atom
- Energy above the lowest structure with this stoichiometry: 0.00 eV per formula unit

---

5.
First-principles (GGA-PBE) data for crystalline Pu2Be3Si4Ir at its relaxed geometry, as listed in the Alexandria database.

Unit cell a=3.911 b=3.911 c=9.765 alpha=90.00 beta=90.00 gamma=90.00
Site moments in Bohr magnetons follow the coordinates.
Positions (direct):
Pu 0.500 0.000 0.236  5.13
Pu 0.000 0.500 0.764  5.13
Be 0.000 0.000 0.500  -0.02
Be 0.500 0.000 0.872  -0.02
Be 0.000 0.500 0.128  -0.02
Si 0.000 0.500 0.360  -0.01
Si 0.500 0.000 0.640  -0.01
Si 0.500 0.500 0.000  -0.02
Si 0.000 0.000 0.000  -0.03
Ir 0.500 0.500 0.500  -0.01

- Formation energy from raw total energies: -43 kJ per mole of atoms
- Crystal system: tetragonal
- Space-group type: P-4m2 (115)
- E: -7.4834 eV/atom

---

6.
First-principles (GGA-PBE) data for crystalline PrNdTl2S4 at its relaxed geometry, as listed in the Alexandria database.

Unit cell a=4.200 b=7.276 c=7.876 alpha=107.92 beta=90.00 gamma=90.00
Positions (direct):
Nd 0.000 0.000 0.000
S 0.000 0.737 0.205
S 0.500 0.767 0.795
S 0.000 0.263 0.795
S 0.500 0.233 0.205
Tl 0.500 0.000 0.500
Tl 0.000 0.500 0.500
Pr 0.500 0.500 0.000

- Formation energy from raw total energies: -140 kJ per mole of atoms
- Crystal system: monoclinic
- Space-group type: P2/m (10)
- E: -5.2980 eV/atom

---

Number 1: D(E_F) 2.01 states/eV/cell. Number 2: D(E_F) 5.73 states/eV/cell. Number 3: D(E_F) 5.90 states/eV/cell. Number 4: D(E_F) 13.26 states/eV/cell. Number 5: D(E_F) 16.60 states/eV/cell. Number 6: D(E_F) 0.00 states/eV/cell.